Compound: MnCd3Rh
Source: Alexandria via LeMat-Bulk
Functional: PBE
Structure: optimized geometry

Formation energy from the elements ... 0.60 eV/atom
Distance to the lowest polymorph of the same formula ... 0.000 eV per atom
Raw total energy ... -3.250 eV per atom

a = 5.1240 Å, b = 5.1240 Å, c = 5.1240 Å
α = 90.00°, β = 90.00°, γ = 90.00°
Site moments in Bohr magnetons follow the coordinates.
Positions (direct):
Cd: 0.0000 0.5000 0.0000  -0.02
Mn: 0.5000 0.5000 0.5000  4.46
Rh: 0.0000 0.0000 0.0000  0.11
Cd: 0.5000 0.0000 0.0000  0.01
Cd: 0.0000 0.0000 0.5000  -0.01

Compound: Mn2CdRh
Source: Alexandria via LeMat-Bulk
Functional: PBE
Structure: optimized geometry

Formation energy from the elements ... 0.12 eV/atom
Raw total energy ... -6.530 eV per atom

a = 4.8540 Å, b = 4.8540 Å, c = 4.8540 Å
α = 131.10°, β = 131.28°, γ = 71.51°
Site moments in Bohr magnetons follow the coordinates.
Positions (direct):
Mn: 0.0001 0.0001 0.0000  3.72
Mn: 0.7503 0.2503 0.5000  3.68
Rh: 0.4998 0.4998 0.0000  0.46
Cd: 0.2499 0.7499 0.5000  -0.04

Compound: Mn2CdRh
Source: Alexandria via LeMat-Bulk
Functional: PBE
Structure: optimized geometry

Formation energy from the elements ... 0.15 eV/atom
Raw total energy ... -6.501 eV per atom

a = 4.4708 Å, b = 4.4708 Å, c = 4.4708 Å
α = 60.00°, β = 60.00°, γ = 60.00°
Site moments in Bohr magnetons follow the coordinates.
Positions (direct):
Mn: 0.2500 0.2500 0.2500  3.67
Mn: 0.0000 0.0000 0.0000  3.65
Rh: 0.7500 0.7500 0.7500  0.30
Cd: 0.5000 0.5000 0.5000  -0.05

Compound: MnCdRh
Source: Alexandria via LeMat-Bulk
Functional: PBE
Structure: optimized geometry

Formation energy from the elements ... 0.05 eV/atom
Distance to the lowest polymorph of the same formula ... 0.098 eV per atom
Raw total energy ... -5.765 eV per atom

a = 4.3993 Å, b = 4.3993 Å, c = 2.9264 Å
α = 90.00°, β = 90.00°, γ = 120.00°
Site moments in Bohr magnetons follow the coordinates.
Positions (direct):
Cd: 0.0000 0.0000 0.0125  -0.02
Rh: 0.3333 0.6667 0.5916  0.44
Mn: 0.6667 0.3333 0.3959  3.70

Compound: MnCdRh2
Source: Alexandria via LeMat-Bulk
Functional: PBE
Structure: optimized geometry

Formation energy from the elements ... -0.01 eV/atom
Raw total energy ... -6.203 eV per atom

a = 4.7363 Å, b = 4.7363 Å, c = 4.9152 Å
α = 77.56°, β = 77.56°, γ = 35.25°
Site moments in Bohr magnetons follow the coordinates.
Positions (direct):
Rh: 0.9894 0.9894 0.0167  0.28
Rh: 0.5106 0.5106 0.4833  0.28
Cd: 0.7500 0.7500 0.7500  -0.01
Mn: 0.2500 0.2500 0.2500  3.56

Compound: MnCdRh
Source: Alexandria via LeMat-Bulk
Functional: PBE
Structure: optimized geometry

Formation energy from the elements ... -0.05 eV/atom
Distance to the lowest polymorph of the same formula ... 0.000 eV per atom
Raw total energy ... -5.863 eV per atom

a = 5.3249 Å, b = 5.3238 Å, c = 5.3238 Å
α = 145.29°, β = 145.30°, γ = 49.90°
Site moments in Bohr magnetons follow the coordinates.
Positions (direct):
Mn: 0.3163 0.3163 0.0000  3.60
Cd: 0.0004 0.0004 0.0000  -0.04
Rh: 0.6833 0.6833 0.0000  0.43

Compound: Mn2CdRh
Source: Alexandria via LeMat-Bulk
Functional: PBE
Structure: optimized geometry

Formation energy from the elements ... 0.20 eV/atom
Raw total energy ... -6.453 eV per atom

a = 8.9603 Å, b = 8.9603 Å, c = 8.9603 Å
α = 18.71°, β = 18.71°, γ = 18.71°
Site moments in Bohr magnetons follow the coordinates.
Positions (direct):
Cd: 0.7500 0.7500 0.7500  -0.04
Mn: 0.5077 0.5077 0.5077  3.57
Rh: 0.2500 0.2500 0.2500  0.33
Mn: 0.9923 0.9923 0.9923  3.57

Compound: MnCdRh2
Source: Alexandria via LeMat-Bulk
Functional: PBE
Structure: optimized geometry

Formation energy from the elements ... -0.14 eV/atom
Raw total energy ... -6.341 eV per atom

a = 3.0186 Å, b = 3.0186 Å, c = 6.7305 Å
α = 90.00°, β = 90.00°, γ = 90.00°
Site moments in Bohr magnetons follow the coordinates.
Positions (direct):
Rh: 0.0000 0.0000 0.9660  0.17
Mn: 0.5000 0.5000 0.7500  3.16
Cd: 0.5000 0.5000 0.2500  -0.01
Rh: 0.0000 0.0000 0.5340  0.17

Question: Look up the formation energy from the elements of the sixth one.
Answer: -0.05 eV/atom

Question: What is the formula in the third record?
Answer: Mn2CdRh

Question: formation energy from the elements of number 2 (Mn2CdRh)?
Answer: 0.12 eV/atom

Copy entry 5 word for word.
Compound: MnCdRh2
Source: Alexandria via LeMat-Bulk
Functional: PBE
Structure: optimized geometry

Formation energy from the elements ... -0.01 eV/atom
Raw total energy ... -6.203 eV per atom

a = 4.7363 Å, b = 4.7363 Å, c = 4.9152 Å
α = 77.56°, β = 77.56°, γ = 35.25°
Site moments in Bohr magnetons follow the coordinates.
Positions (direct):
Rh: 0.9894 0.9894 0.0167  0.28
Rh: 0.5106 0.5106 0.4833  0.28
Cd: 0.7500 0.7500 0.7500  -0.01
Mn: 0.2500 0.2500 0.2500  3.56